This record from Alexandria describes a relaxed Ca2BeRh2 crystal. The functional is GGA-PBE.

The structure in POSCAR format:
```
Ca2BeRh2
1.0
-0.583 -4.961 2.938
3.127 -4.709 -1.276
5.116 0.672 4.545
Ca Be Rh
4 2 4
direct
0.480 0.227 0.141
0.773 0.520 0.359
0.520 0.773 0.859
0.227 0.480 0.641
0.077 0.923 0.250
0.923 0.077 0.750
0.749 0.998 0.512
0.002 0.251 0.988
0.251 0.002 0.488
0.998 0.749 0.012
```

## Properties
ΔH_f (0 K) = -0.423 eV/atom
crystal system = monoclinic
offset from the most stable computed form = 0.000 eV/atom



This record from Alexandria describes a relaxed LaBe2Ga crystal. The functional is GGA-PBE.

The structure in POSCAR format:
```
LaBe2Ga
1.0
-3.351 2.329 1.995
-2.504 -0.372 -3.771
-5.986 -5.726 1.804
Be Ga La
4 2 2
direct
0.375 0.125 0.250
0.375 0.625 0.250
0.375 0.625 0.750
0.875 0.625 0.750
0.500 0.500 0.000
0.250 0.750 0.500
0.000 0.000 0.000
0.750 0.250 0.500
```

## Properties
ΔH_f (0 K) = -0.041 eV/atom
crystal system = tetragonal
offset from the most stable computed form = 0.000 eV/atom



This record from Alexandria describes a relaxed MgMoAu2 crystal. The functional is GGA-PBE.

The structure in POSCAR format:
```
MgMoAu2
1.0
-1.476 2.724 -2.649
0.651 -1.716 -2.127
-4.807 -4.297 -1.740
Au Mg Mo
2 1 1
direct
0.000 0.006 0.994
0.000 0.494 0.506
0.500 0.250 0.250
0.500 0.750 0.750
```

## Properties
ΔH_f (0 K) = 0.018 eV/atom
crystal system = monoclinic



Copy entry 1 word for word.
This record from Alexandria describes a relaxed Ca2BeRh2 crystal. The functional is GGA-PBE.

The structure in POSCAR format:
```
Ca2BeRh2
1.0
-0.583 -4.961 2.938
3.127 -4.709 -1.276
5.116 0.672 4.545
Ca Be Rh
4 2 4
direct
0.480 0.227 0.141
0.773 0.520 0.359
0.520 0.773 0.859
0.227 0.480 0.641
0.077 0.923 0.250
0.923 0.077 0.750
0.749 0.998 0.512
0.002 0.251 0.988
0.251 0.002 0.488
0.998 0.749 0.012
```

## Properties
ΔH_f (0 K) = -0.423 eV/atom
crystal system = monoclinic
offset from the most stable computed form = 0.000 eV/atom



Question: ΔH_f (0 K) of number 2 (LaBe2Ga)?
Answer: -0.041 eV/atom



Question: Which of these has the highest ΔH_f (0 K)?
Answer: MgMoAu2